# 1
Material: SrMnBe2
Method: DFT, PBE
State: optimized geometry

Cell: 6.805 3.934 6.002 Å, 90.00 112.40 90.00°
Space group Cm (No. 8)
Symmetry-distinct sites (fractional):
Sr 0.000 0.000 0.000 [2 per cell]
Mn 0.311 0.500 0.434 [2 per cell]
Be 0.007 0.500 0.522 [2 per cell]
Be 0.184 0.000 0.550 [2 per cell]

Computed properties:
For the formation energy, the calculation gives 0.24 eV per atom.

=====

# 2
Material: Nd16Y6Er7
Method: DFT, PBE
State: optimized geometry

Cell: 15.989 15.989 15.989 Å, 90.00 90.00 90.00°
Space group Fm-3m (No. 225)
Symmetry-distinct sites (fractional):
Nd 0.124 0.124 0.124 [32 per cell]
Nd 0.150 0.150 0.350 [32 per cell]
Y 0.000 0.000 0.270 [24 per cell]
Er 0.000 0.000 0.000 [4 per cell]
Er 0.000 0.250 0.250 [24 per cell]

Computed properties:
For the formation energy, the calculation gives 0.19 eV per atom.

=====

# 3
Material: TaGe2Sb
Method: DFT, PBE
State: optimized geometry

Cell: 6.144 6.144 12.116 Å, 90.00 90.00 90.00°
Space group I-42d (No. 122)
Symmetry-distinct sites (fractional):
Ta 0.000 0.000 0.000 [4 per cell]
Ge 0.221 0.250 0.125 [8 per cell]
Sb 0.000 0.000 0.500 [4 per cell]

=====

# 4
Material: Sb3Mo
Method: DFT, PBE
State: optimized geometry

Cell: 4.603 4.603 4.603 Å, 90.00 90.00 90.00°
Space group Pm-3m (No. 221)
Symmetry-distinct sites (fractional):
Sb 0.000 0.000 0.500 [3 per cell]
Mo 0.500 0.500 0.500 [1 per cell]

=====

# 5
Material: CrIr2Pb
Method: DFT, PBE
State: optimized geometry

Cell: 8.988 2.975 5.077 Å, 90.00 100.81 90.00°
Space group C2/m (No. 12)
Symmetry-distinct sites (fractional):
Cr 0.000 0.000 0.000 [2 per cell]
Ir 0.239 0.500 0.214 [4 per cell]
Pb 0.000 0.500 0.500 [2 per cell]

Computed properties:
For the formation energy, the calculation gives 0.35 eV per atom.

=====

# 6
Material: Pr2I3Br
Method: DFT, PBE
State: optimized geometry

Cell: 21.087 4.206 15.410 Å, 90.00 129.85 90.00°
Space group C2/m (No. 12)
Symmetry-distinct sites (fractional):
Pr 0.077 0.000 0.468 [4 per cell]
Pr 0.161 0.500 0.881 [4 per cell]
I 0.040 0.500 0.279 [4 per cell]
I 0.154 0.000 0.034 [4 per cell]
I 0.221 0.500 0.610 [4 per cell]
Br 0.114 0.000 0.701 [4 per cell]

=====

# 7
Material: KNaHgS2
Method: DFT, PBE
State: optimized geometry

Cell: 6.607 14.421 6.065 Å, 90.00 90.00 90.00°
Space group Cmme (No. 67)
Symmetry-distinct sites (fractional):
K 0.000 0.250 0.216 [4 per cell]
Na 0.250 0.000 0.500 [4 per cell]
Hg 0.000 0.000 0.000 [4 per cell]
S 0.000 0.122 0.741 [8 per cell]

=====

# 8
Material: NiAuBr2
Method: DFT, PBE
State: optimized geometry

Cell: 5.320 3.338 5.517 Å, 90.00 99.26 90.00°
Space group P2/m (No. 10)
Symmetry-distinct sites (fractional):
Ni 0.000 0.000 0.000 [1 per cell]
Au 0.500 0.000 0.500 [1 per cell]
Br 0.199 0.500 0.795 [2 per cell]

=====

# 9
Material: CdHg5H
Method: DFT, PBE
State: optimized geometry

Cell: 6.514 6.744 7.998 Å, 78.34 77.93 88.51°
Space group P-1 (No. 2)
Symmetry-distinct sites (fractional):
Cd 0.168 0.160 0.362 [2 per cell]
Hg 0.170 0.665 0.349 [2 per cell]
Hg 0.212 0.490 0.012 [2 per cell]
Hg 0.282 0.005 0.012 [2 per cell]
Hg 0.329 0.836 0.664 [2 per cell]
Hg 0.330 0.336 0.654 [2 per cell]
H 0.000 0.000 0.000 [1 per cell]
H 0.500 0.500 0.000 [1 per cell]

=====

# 10
Material: PrU3Se8
Method: DFT, PBE
State: optimized geometry

Cell: 8.3583 8.3583 13.0953 Å, 90.00 90.00 120.00°
Space group P6_3mc (No. 186)
Symmetry-distinct sites (fractional):
Pr 0.3333 0.6667 0.0000 [2 per cell]
U 0.1677 0.3355 0.7286 [6 per cell]
Se 0.0000 0.0000 0.3404 [2 per cell]
Se 0.0223 0.5112 0.8474 [6 per cell]
Se 0.1550 0.3100 0.1116 [6 per cell]
Se 0.3333 0.6667 0.6128 [2 per cell]

=====

# 11
Material: SbHPt2
Method: DFT, PBE
State: optimized geometry

Cell: 5.141 5.141 9.762 Å, 90.00 90.00 90.00°
Space group I-42d (No. 122)
Symmetry-distinct sites (fractional):
Sb 0.000 0.000 0.000 [4 per cell]
H 0.000 0.000 0.500 [4 per cell]
Pt 0.126 0.250 0.625 [8 per cell]

=====

# 12
Material: Pr6TmMg2
Method: DFT, PBE
State: optimized geometry

Cell: 6.229 10.655 8.862 Å, 90.00 90.00 90.00°
Space group C222 (No. 21)
Symmetry-distinct sites (fractional):
Pr 0.000 0.175 0.000 [4 per cell]
Pr 0.243 0.416 0.664 [8 per cell]
Tm 0.000 0.500 0.000 [2 per cell]
Mg 0.250 0.250 0.329 [4 per cell]

Computed properties:
For the formation energy, the calculation gives 0.05 eV per atom.

=====

Number 1: total energy -4.34 eV/atom, Fermi-level density of states 3.550 states/eV per cell. Number 2: total energy -4.88 eV/atom, Fermi-level density of states 167.036 states/eV per cell. Number 3: total energy -5.67 eV/atom, Fermi-level density of states 6.633 states/eV per cell. Number 4: total energy -5.09 eV/atom, Fermi-level density of states 2.267 states/eV per cell. Number 5: total energy -7.42 eV/atom, Fermi-level density of states 6.584 states/eV per cell. Number 6: total energy -3.98 eV/atom, Fermi-level density of states 10.881 states/eV per cell. Number 7: total energy -2.96 eV/atom, Fermi-level density of states 0.000 states/eV per cell. Number 8: total energy -2.88 eV/atom, Fermi-level density of states 3.841 states/eV per cell. Number 9: total energy -0.71 eV/atom, Fermi-level density of states 2.344 states/eV per cell. Number 10: total energy -6.77 eV/atom, Fermi-level density of states 32.186 states/eV per cell. Number 11: total energy -4.99 eV/atom, Fermi-level density of states 5.633 states/eV per cell. Number 12: total energy -3.98 eV/atom, Fermi-level density of states 24.074 states/eV per cell.